VASP calculation (PBE) on a geometry-optimized NaNb3P5 structure.

Cell lengths 5.7357, 5.7357, 5.9250 Å; angles 90.00, 90.00, 120.00 degrees
Atoms (fractional coordinates):
Na 0.0000 0.0000 0.0000
Nb 0.5000 0.0000 0.5000
Nb 0.0000 0.5000 0.5000
Nb 0.5000 0.5000 0.5000
P 0.6667 0.3333 0.1789
P 0.3333 0.6667 0.1789
P 0.0000 0.0000 0.5000
P 0.6667 0.3333 0.8211
P 0.3333 0.6667 0.8211

Results
The total magnetic moment is 0.02 Bohr magnetons per cell. For the total energy, the calculation gives -6.876 eV per atom.